1.
Below is crystalline Li2CaAg at its relaxed geometry, with properties calculated at the PBE level.

The value obtained for the offset from the most stable computed form is 235 meV per atom. The energy of formation comes out at 0.06 eV/atom.

CIF file:
```
data_Li2CaAg
_symmetry_space_group_name_H-M 'P 1'
_symmetry_Int_Tables_number 1
_cell_length_a 9.230
_cell_length_b 9.230
_cell_length_c 9.230
_cell_angle_alpha 22.52
_cell_angle_beta 22.52
_cell_angle_gamma 22.52
loop_
_symmetry_equiv_pos_as_xyz
'x,y,z'
loop_
_atom_site_label
_atom_site_type_symbol
_atom_site_fract_x
_atom_site_fract_y
_atom_site_fract_z
Li1 Li 0.520 0.520 0.520
Ca1 Ca 0.750 0.750 0.750
Ag1 Ag 0.250 0.250 0.250
Li2 Li 0.980 0.980 0.980
```

2.
Below is crystalline LiCa4Ag3 at its relaxed geometry, with properties calculated at the PBE level.

The value obtained for the offset from the most stable computed form is 15 meV per atom. The energy of formation comes out at -0.24 eV/atom.

CIF file:
```
data_LiCa4Ag3
_symmetry_space_group_name_H-M 'P 1'
_symmetry_Int_Tables_number 1
_cell_length_a 5.299
_cell_length_b 5.299
_cell_length_c 8.420
_cell_angle_alpha 108.40
_cell_angle_beta 108.37
_cell_angle_gamma 89.98
loop_
_symmetry_equiv_pos_as_xyz
'x,y,z'
loop_
_atom_site_label
_atom_site_type_symbol
_atom_site_fract_x
_atom_site_fract_y
_atom_site_fract_z
Ca1 Ca 0.628 0.628 0.257
Ca2 Ca 0.128 0.128 0.257
Ca3 Ca 0.872 0.872 0.743
Li1 Li 0.500 0.000 0.000
Ag1 Ag 0.745 0.245 0.489
Ca4 Ca 0.372 0.372 0.743
Ag2 Ag 0.000 0.500 0.000
Ag3 Ag 0.255 0.755 0.511
```

3.
Below is crystalline LiCaAg3 at its relaxed geometry, with properties calculated at the PBE level.

The value obtained for the offset from the most stable computed form is 75 meV per atom. The energy of formation comes out at -0.15 eV/atom.

CIF file:
```
data_LiCaAg3
_symmetry_space_group_name_H-M 'P 1'
_symmetry_Int_Tables_number 1
_cell_length_a 4.338
_cell_length_b 4.339
_cell_length_c 6.492
_cell_angle_alpha 70.45
_cell_angle_beta 70.45
_cell_angle_gamma 90.04
loop_
_symmetry_equiv_pos_as_xyz
'x,y,z'
loop_
_atom_site_label
_atom_site_type_symbol
_atom_site_fract_x
_atom_site_fract_y
_atom_site_fract_z
Ag1 Ag 0.802 0.605 0.102
Ag2 Ag 0.145 0.449 0.415
Ca1 Ca 0.395 0.198 0.916
Ag3 Ag 0.645 0.948 0.415
Li1 Li 0.021 0.825 0.663
```

4.
Below is crystalline LiCa2Ag2 at its relaxed geometry, with properties calculated at the PBE level.

The value obtained for the offset from the most stable computed form is 20 meV per atom. The energy of formation comes out at -0.25 eV/atom.

CIF file:
```
data_LiCa2Ag2
_symmetry_space_group_name_H-M 'P 1'
_symmetry_Int_Tables_number 1
_cell_length_a 7.876
_cell_length_b 7.876
_cell_length_c 4.226
_cell_angle_alpha 90.00
_cell_angle_beta 90.00
_cell_angle_gamma 90.00
loop_
_symmetry_equiv_pos_as_xyz
'x,y,z'
loop_
_atom_site_label
_atom_site_type_symbol
_atom_site_fract_x
_atom_site_fract_y
_atom_site_fract_z
Ag1 Ag 0.629 0.129 0.000
Ca1 Ca 0.330 0.170 0.500
Ag2 Ag 0.371 0.871 0.000
Ca2 Ca 0.830 0.330 0.500
Ag3 Ag 0.871 0.629 0.000
Ca3 Ca 0.170 0.670 0.500
Ag4 Ag 0.129 0.371 0.000
Li1 Li 0.500 0.500 0.000
Ca4 Ca 0.670 0.830 0.500
Li2 Li 0.000 0.000 0.000
```

5.
Below is crystalline LiCa2Ag at its relaxed geometry, with properties calculated at the PBE level.

The value obtained for the offset from the most stable computed form is 19 meV per atom. The energy of formation comes out at -0.15 eV/atom.

CIF file:
```
data_LiCa2Ag
_symmetry_space_group_name_H-M 'P 1'
_symmetry_Int_Tables_number 1
_cell_length_a 5.301
_cell_length_b 5.301
_cell_length_c 3.902
_cell_angle_alpha 89.98
_cell_angle_beta 89.98
_cell_angle_gamma 90.02
loop_
_symmetry_equiv_pos_as_xyz
'x,y,z'
loop_
_atom_site_label
_atom_site_type_symbol
_atom_site_fract_x
_atom_site_fract_y
_atom_site_fract_z
Ca1 Ca 0.000 0.000 0.000
Ag1 Ag 0.000 0.500 0.500
Ca2 Ca 0.500 0.500 0.000
Li1 Li 0.500 0.000 0.500
```

6.
Below is crystalline Li2CaAg9 at its relaxed geometry, with properties calculated at the PBE level.

The value obtained for the offset from the most stable computed form is 0 meV per atom. The energy of formation comes out at -0.11 eV/atom.

CIF file:
```
data_Li2CaAg9
_symmetry_space_group_name_H-M 'P 1'
_symmetry_Int_Tables_number 1
_cell_length_a 5.546
_cell_length_b 5.546
_cell_length_c 9.833
_cell_angle_alpha 73.62
_cell_angle_beta 73.62
_cell_angle_gamma 60.00
loop_
_symmetry_equiv_pos_as_xyz
'x,y,z'
loop_
_atom_site_label
_atom_site_type_symbol
_atom_site_fract_x
_atom_site_fract_y
_atom_site_fract_z
Ag1 Ag 0.413 0.917 0.257
Ag2 Ag 0.333 0.333 0.001
Ag3 Ag 0.083 0.587 0.743
Ag4 Ag 0.917 0.413 0.257
Ag5 Ag 0.667 0.667 0.999
Ag6 Ag 0.587 0.587 0.743
Li1 Li 0.149 0.149 0.553
Li2 Li 0.851 0.851 0.447
Ca1 Ca 0.000 0.000 0.000
Ag7 Ag 0.500 0.500 0.500
Ag8 Ag 0.587 0.083 0.743
Ag9 Ag 0.413 0.413 0.257
```

7.
Below is crystalline Li12CaAg6 at its relaxed geometry, with properties calculated at the PBE level.

The energy of formation comes out at -0.08 eV/atom.

CIF file:
```
data_Li12CaAg6
_symmetry_space_group_name_H-M 'P 1'
_symmetry_Int_Tables_number 1
_cell_length_a 7.462
_cell_length_b 7.462
_cell_length_c 7.462
_cell_angle_alpha 103.90
_cell_angle_beta 103.90
_cell_angle_gamma 103.90
loop_
_symmetry_equiv_pos_as_xyz
'x,y,z'
loop_
_atom_site_label
_atom_site_type_symbol
_atom_site_fract_x
_atom_site_fract_y
_atom_site_fract_z
Li1 Li 0.500 0.889 0.111
Ag1 Ag 0.287 0.731 0.731
Li2 Li 0.417 0.153 0.417
Li3 Li 0.417 0.417 0.153
Li4 Li 0.583 0.847 0.583
Ca1 Ca 0.000 0.000 0.000
Li5 Li 0.111 0.889 0.500
Li6 Li 0.153 0.417 0.417
Li7 Li 0.847 0.583 0.583
Li8 Li 0.111 0.500 0.889
Li9 Li 0.889 0.500 0.111
Ag2 Ag 0.269 0.713 0.269
Ag3 Ag 0.731 0.731 0.287
Ag4 Ag 0.269 0.269 0.713
Li10 Li 0.889 0.111 0.500
Ag5 Ag 0.713 0.269 0.269
Ag6 Ag 0.731 0.287 0.731
Li11 Li 0.500 0.111 0.889
Li12 Li 0.583 0.583 0.847
```

8.
Below is crystalline Li2Ca2Ag3 at its relaxed geometry, with properties calculated at the PBE level.

The value obtained for the offset from the most stable computed form is 0 meV per atom. The energy of formation comes out at -0.22 eV/atom.

CIF file:
```
data_Li2Ca2Ag3
_symmetry_space_group_name_H-M 'P 1'
_symmetry_Int_Tables_number 1
_cell_length_a 4.303
_cell_length_b 5.714
_cell_length_c 7.407
_cell_angle_alpha 112.26
_cell_angle_beta 90.00
_cell_angle_gamma 112.12
loop_
_symmetry_equiv_pos_as_xyz
'x,y,z'
loop_
_atom_site_label
_atom_site_type_symbol
_atom_site_fract_x
_atom_site_fract_y
_atom_site_fract_z
Ca1 Ca 0.863 0.726 0.243
Ag1 Ag 0.500 0.000 0.000
Ca2 Ca 0.137 0.274 0.757
Ag2 Ag 0.376 0.751 0.567
Li1 Li 0.140 0.281 0.218
Li2 Li 0.860 0.719 0.782
Ag3 Ag 0.624 0.249 0.433
```